Density functional theory data (PBE with a Hubbard U) for a relaxed structure of LiFePO4.

Geometry as CIF:
```
data_LiFePO4
_chemical_formula_sum 'Li4 Fe4 P4 O16'
_cell_length_a 5.1077
_cell_length_b 10.2380
_cell_length_c 6.8901
_cell_angle_alpha 90.00
_cell_angle_beta 90.00
_cell_angle_gamma 90.00
_symmetry_space_group_name_H-M 'P 1'
_symmetry_Int_Tables_number 1
_symmetry_space_group_name_Hall 'P 1'
loop_
_atom_site_label
_atom_site_fract_x
_atom_site_fract_y
_atom_site_fract_z
Li1 0.7958 0.6541 0.2129
Fe1 0.2948 0.8474 0.2133
O1 0.2601 0.9480 0.9618
Li2 0.7042 0.1541 0.2129
O2 0.5998 0.6234 0.9664
O3 0.7602 0.5520 0.4618
Fe2 0.2052 0.3474 0.2133
O4 0.1862 0.6607 0.7763
O5 0.6863 0.8394 0.2762
Fe3 0.7052 0.1526 0.7133
O6 0.3247 0.1592 0.1477
P1 0.2991 0.5969 0.9635
Fe4 0.7948 0.6526 0.7133
O7 0.7398 0.0520 0.4618
O8 0.8137 0.3394 0.2762
Li3 0.2957 0.8460 0.7129
O9 0.3138 0.1607 0.7763
O10 0.0997 0.8766 0.4664
O11 0.6752 0.8408 0.6476
O12 0.1753 0.6592 0.1477
O13 0.4003 0.3766 0.4664
P2 0.2009 0.0969 0.9635
O14 0.9002 0.1234 0.9664
O15 0.2399 0.4480 0.9618
Li4 0.2043 0.3459 0.7129
P3 0.7010 0.4031 0.4635
O16 0.8249 0.3408 0.6476
P4 0.7990 0.9031 0.4634
```

Output
Its energy above the most stable polymorph in this dataset is 6 kJ/mol of formula units. As for the symmetry: Pna2_1. For the volume, the calculation gives 360.3 Å³ per cell.